Below is a relaxed structure of BaV2RhSe8, with properties calculated at the GGA-PBE level.

Results
As for the space-group type: No. 147. The calculation puts the mass density at 5.2 g/cm3. The calculation puts the total magnetic moment at 0.0 μB/f.u. The formation energy (no corrections) is -0.625 eV/atom.

Cell: 6.300 6.300 9.063 Å, 90.00 90.00 120.00°
Positions (direct):
Ba  0.000  0.000  0.000
V  0.333  0.667  0.738
V  0.667  0.333  0.262
Rh  0.000  0.000  0.500
Se  0.014  0.689  0.334
Se  0.311  0.325  0.334
Se  0.325  0.014  0.666
Se  0.333  0.667  0.989
Se  0.667  0.333  0.011
Se  0.675  0.986  0.334
Se  0.689  0.675  0.666
Se  0.986  0.311  0.666